No. 1
# Rb2BeHgF6, optimized geometry, DFT PBE
data_Rb2BeHgF6
_chemical_formula_sum 'Rb8 Be4 Hg4 F24'
_space_group_name_H-M_alt 'F m -3 m'
_space_group_IT_number 225
_space_group_name_Hall '-F 4 2 3'
_cell_length_a 8.3524
_cell_length_b 8.3524
_cell_length_c 8.3524
_cell_angle_alpha 90.00
_cell_angle_beta 90.00
_cell_angle_gamma 90.00
loop_
_atom_site_label
_atom_site_fract_x
_atom_site_fract_y
_atom_site_fract_z
Rb1 0.2500 0.2500 0.2500
Be1 0.0000 0.0000 0.0000
Hg1 0.0000 0.0000 0.5000
F1 0.0000 0.0000 0.2189
# Crystal system: cubic

=====

No. 2
# NdHo3, optimized geometry, DFT PBE
data_NdHo3
_chemical_formula_sum 'Nd2 Ho6'
_space_group_name_H-M_alt 'P 63/m m c'
_space_group_IT_number 194
_space_group_name_Hall '-P 6c 2c'
_cell_length_a 7.2437
_cell_length_b 7.2437
_cell_length_c 5.6996
_cell_angle_alpha 90.00
_cell_angle_beta 90.00
_cell_angle_gamma 120.00
loop_
_atom_site_label
_atom_site_fract_x
_atom_site_fract_y
_atom_site_fract_z
Nd1 0.3333 0.6667 0.2500
Ho1 0.1656 0.3313 0.7500
# Polymorph energy (0 for the lowest one) in eV per atom: 0.000
# Energy of formation from the pure elements in meV/atom: 12.5
# Crystal system: hexagonal

=====

No. 3
# CaGaCl3, optimized geometry, DFT PBE
data_CaGaCl3
_chemical_formula_sum 'Ca4 Ga4 Cl12'
_space_group_name_H-M_alt 'C 1 2/m 1'
_space_group_IT_number 12
_cell_length_a 7.1010
_cell_length_b 12.8773
_cell_length_c 7.1714
_cell_angle_alpha 90.00
_cell_angle_beta 104.75
_cell_angle_gamma 90.00
loop_
_space_group_symop_operation_xyz
'x,y,z'
'-x,-y,-z'
'-x,y,-z'
'x,-y,z'
'x+1/2,y+1/2,z'
'-x+1/2,-y+1/2,-z'
'-x+1/2,y+1/2,-z'
'x+1/2,-y+1/2,z'
loop_
_atom_site_label
_atom_site_fract_x
_atom_site_fract_y
_atom_site_fract_z
Ca1 0.0000 0.1601 0.0000
Ga1 0.0000 0.3553 0.5000
Cl1 0.2009 0.0000 0.2098
Cl2 0.2425 0.2032 0.7610
# Crystal system: monoclinic

=====

No. 4
# Cu2SeCl6, optimized geometry, DFT PBE
data_Cu2SeCl6
_chemical_formula_sum 'Cu8 Se4 Cl24'
_space_group_name_H-M_alt 'C 1 2/c 1'
_space_group_IT_number 15
_cell_length_a 12.4655
_cell_length_b 11.5229
_cell_length_c 7.1858
_cell_angle_alpha 90.00
_cell_angle_beta 94.01
_cell_angle_gamma 90.00
loop_
_space_group_symop_operation_xyz
'x,y,z'
'-x,-y,-z'
'-x,y,-z+1/2'
'x,-y,z+1/2'
'x+1/2,y+1/2,z'
'-x+1/2,-y+1/2,-z'
'-x+1/2,y+1/2,-z+1/2'
'x+1/2,-y+1/2,z+1/2'
loop_
_atom_site_label
_atom_site_fract_x
_atom_site_fract_y
_atom_site_fract_z
Cu1 0.2082 0.0185 0.3650
Se1 0.0000 0.3933 0.2500
Cl1 0.1100 0.2623 0.1355
Cl2 0.1197 0.4336 0.6342
Cl3 0.1366 0.0749 0.6222
# Polymorph energy (0 for the lowest one) in eV per atom: 0.012
# Crystal system: monoclinic

=====

No. 5
# Sm3Dy8Ho, optimized geometry, DFT PBE
data_Sm3Dy8Ho
_chemical_formula_sum 'Sm6 Dy16 Ho2'
_space_group_name_H-M_alt 'C 1 m 1'
_space_group_IT_number 8
_cell_length_a 10.0523
_cell_length_b 10.0878
_cell_length_c 7.9599
_cell_angle_alpha 90.00
_cell_angle_beta 108.42
_cell_angle_gamma 90.00
loop_
_space_group_symop_operation_xyz
'x,y,z'
'x,-y,z'
'x+1/2,y+1/2,z'
'x+1/2,-y+1/2,z'
loop_
_atom_site_label
_atom_site_fract_x
_atom_site_fract_y
_atom_site_fract_z
Sm1 0.0000 0.0000 0.0000
Sm2 0.2500 0.2499 0.0002
Dy1 0.9999 0.5000 0.9999
Dy2 0.0839 0.2504 0.3355
Dy3 0.1657 0.5000 0.6652
Dy4 0.3334 0.5000 0.3348
Dy5 0.3341 0.0000 0.3353
Dy6 0.4161 0.2497 0.6649
Ho1 0.1669 0.0000 0.6656
# Energy of formation from the pure elements in meV/atom: 16.0
# Crystal system: monoclinic

=====

No. 6
# Co2NiP, optimized geometry, DFT PBE
data_Co2NiP
_chemical_formula_sum 'Co2 Ni1 P1'
_space_group_name_H-M_alt 'P 1 2/m 1'
_space_group_IT_number 10
_cell_length_a 2.6401
_cell_length_b 3.5657
_cell_length_c 4.7643
_cell_angle_alpha 90.00
_cell_angle_beta 103.70
_cell_angle_gamma 90.00
loop_
_space_group_symop_operation_xyz
'x,y,z'
'-x,-y,-z'
'-x,y,-z'
'x,-y,z'
loop_
_atom_site_label
_atom_site_fract_x
_atom_site_fract_y
_atom_site_fract_z
Co1 0.1353 0.0000 0.2663
Ni1 0.5000 0.5000 0.0000
P1 0.5000 0.5000 0.5000
# Energy of formation from the pure elements in meV/atom: -169.7
# Crystal system: monoclinic

=====

No. 7
# CsP, optimized geometry, DFT PBE
data_CsP
_chemical_formula_sum 'Cs6 P6'
_space_group_name_H-M_alt 'C m m m'
_space_group_IT_number 65
_space_group_name_Hall '-C 2 2'
_cell_length_a 3.7209
_cell_length_b 22.0724
_cell_length_c 5.8035
_cell_angle_alpha 90.00
_cell_angle_beta 90.00
_cell_angle_gamma 90.00
loop_
_atom_site_label
_atom_site_fract_x
_atom_site_fract_y
_atom_site_fract_z
Cs1 0.0000 0.0000 0.0000
Cs2 0.0000 0.3426 0.5000
P1 0.0000 0.2213 0.0000
P2 0.0000 0.5000 0.5000
# Energy of formation from the pure elements in meV/atom: -101.2
# Crystal system: orthorhombic

=====

Calculated values (states/eV/cell) of Fermi-level density of states for the records, taken in order: 0.0, 14.4, 0.0, 18.5, 30.1, 3.8, 9.4.
Calculated values (eV/atom) of DFT total energy for the records, taken in order: -4.127, -4.613, -3.826, -2.896, -4.613, -6.520, -3.233.